# 1
The following is a DFT calculation (PBE) of a geometry-optimized K3Nd3BiO8 structure.

## Properties
theoretical density: 5.13 g cm⁻³
V: 19.13 Å³/atom
crystal system: trigonal
formation energy from raw total energies: -222.0 kJ/mol of atoms
magnetization: 0.00 μB per formula unit

Unit cell a=7.6077 b=7.6077 c=7.6077 alpha=56.61 beta=56.61 gamma=56.61
Last column: nearest neighbours and their distance in Å.
Atoms (fractional coordinates):
K: 0.0000 0.5000 0.5000  6 O 2.86-2.89
K: 0.5000 0.0000 0.5000  6 O 2.86-2.89
K: 0.5000 0.5000 0.0000  6 O 2.86-2.89
Nd: 0.0000 0.0000 0.5000  6 O 2.39-2.43
Nd: 0.0000 0.5000 0.0000  6 O 2.39-2.43
Nd: 0.5000 0.0000 0.0000  6 O 2.39-2.43
Bi: 0.5000 0.5000 0.5000  6 O 2.30
O: 0.2285 0.2285 0.2285  3 Nd 2.39
O: 0.2436 0.7201 0.7201  1 Bi 2.30, 2 Nd 2.43
O: 0.2799 0.2799 0.7564  1 Bi 2.30, 2 Nd 2.43
O: 0.2799 0.7564 0.2799  1 Bi 2.30, 2 Nd 2.43
O: 0.7201 0.2436 0.7201  1 Bi 2.30, 2 Nd 2.43
O: 0.7201 0.7201 0.2436  1 Bi 2.30, 2 Nd 2.43
O: 0.7564 0.2799 0.2799  1 Bi 2.30, 2 Nd 2.43
O: 0.7715 0.7715 0.7715  3 Nd 2.39

=====

# 2
The following is a DFT calculation (PBE) of a geometry-optimized K2NdBiS4 structure.

## Properties
theoretical density: 4.14 g cm⁻³
V: 28.04 Å³/atom
crystal system: monoclinic
formation energy from raw total energies: -128.2 kJ/mol of atoms
magnetization: 0.00 μB per formula unit

Unit cell a=7.2445 b=4.1823 c=7.7852 alpha=90.00 beta=108.01 gamma=90.00
Last column: nearest neighbours and their distance in Å.
Atoms (fractional coordinates):
K: 0.0000 0.0000 0.0000  6 S 3.23-3.24
K: 0.5000 0.5000 0.0000  6 S 3.23-3.24
Nd: 0.0000 0.5000 0.5000  6 S 2.86-2.87
Bi: 0.5000 0.0000 0.5000  6 S 2.87
S: 0.2358 0.0000 0.7082  2 Nd 2.86, 1 Bi 2.87
S: 0.2631 0.5000 0.2904  1 Nd 2.87, 2 Bi 2.87
S: 0.7369 0.5000 0.7096  1 Nd 2.87, 2 Bi 2.87
S: 0.7642 0.0000 0.2918  2 Nd 2.86, 1 Bi 2.87